This record from Alexandria via LeMat-Bulk describes crystalline Li2MgO2 at its relaxed geometry. The functional is PBE.

CIF file:
```
data_Li2MgO2
_chemical_formula_sum 'Li4 Mg2 O4'
_cell_length_a 5.260
_cell_length_b 5.260
_cell_length_c 5.260
_cell_angle_alpha 120.10
_cell_angle_beta 94.47
_cell_angle_gamma 114.87
_symmetry_space_group_name_H-M 'P 1'
_symmetry_Int_Tables_number 1
loop_
_symmetry_equiv_pos_as_xyz
'x,y,z'
loop_
_atom_site_label
_atom_site_fract_x
_atom_site_fract_y
_atom_site_fract_z
Li1 0.148 0.090 0.238
Li2 0.352 0.590 0.941
Li3 0.648 0.410 0.059
Li4 0.852 0.910 0.762
Mg1 0.250 0.750 0.500
Mg2 0.750 0.250 0.500
O1 0.104 0.732 0.836
O2 0.396 0.232 0.628
O3 0.604 0.768 0.372
O4 0.896 0.268 0.164
```

Summary:
As for the total magnetic moment: 0.000 μB per formula unit. Its density of states at the Fermi level is 0.00 states/eV per atom. As for the total energy: -51.03 eV/cell.

This record from Alexandria via LeMat-Bulk describes crystalline BaTa2Br at its relaxed geometry. The functional is PBE.

CIF file:
```
data_BaTa2Br
_chemical_formula_sum 'Ba1 Ta2 Br1'
_cell_length_a 4.121
_cell_length_b 4.121
_cell_length_c 7.063
_cell_angle_alpha 90.00
_cell_angle_beta 90.00
_cell_angle_gamma 90.00
_symmetry_space_group_name_H-M 'P 1'
_symmetry_Int_Tables_number 1
loop_
_symmetry_equiv_pos_as_xyz
'x,y,z'
loop_
_atom_site_label
_atom_site_fract_x
_atom_site_fract_y
_atom_site_fract_z
Ba1 0.000 0.000 0.000
Ta1 0.000 0.500 0.500
Ta2 0.500 0.000 0.500
Br1 0.500 0.500 0.000
```

Summary:
As for the total magnetic moment: 0.941 μB per formula unit. Its density of states at the Fermi level is 1.45 states/eV per atom. As for the total energy: -24.02 eV/cell.

This record from Alexandria via LeMat-Bulk describes crystalline ReSb2As at its relaxed geometry. The functional is PBE.

CIF file:
```
data_ReSb2As
_chemical_formula_sum 'Re1 Sb2 As1'
_cell_length_a 3.313
_cell_length_b 3.313
_cell_length_c 7.352
_cell_angle_alpha 90.00
_cell_angle_beta 90.00
_cell_angle_gamma 90.00
_symmetry_space_group_name_H-M 'P 1'
_symmetry_Int_Tables_number 1
loop_
_symmetry_equiv_pos_as_xyz
'x,y,z'
loop_
_atom_site_label
_atom_site_fract_x
_atom_site_fract_y
_atom_site_fract_z
Re1 0.000 0.000 0.000
Sb1 0.500 0.500 0.223
Sb2 0.500 0.500 0.777
As1 0.000 0.000 0.500
```

Summary:
As for the total magnetic moment: 0.000 μB per formula unit. Its density of states at the Fermi level is 0.45 states/eV per atom. As for the total energy: -23.65 eV/cell.

This record from Alexandria via LeMat-Bulk describes crystalline LiCeTmAu at its relaxed geometry. The functional is PBE.

CIF file:
```
data_LiCeTmAu
_chemical_formula_sum 'Li1 Ce1 Tm1 Au1'
_cell_length_a 5.135
_cell_length_b 5.135
_cell_length_c 5.135
_cell_angle_alpha 60.00
_cell_angle_beta 60.00
_cell_angle_gamma 60.00
_symmetry_space_group_name_H-M 'P 1'
_symmetry_Int_Tables_number 1
loop_
_symmetry_equiv_pos_as_xyz
'x,y,z'
loop_
_atom_site_label
_atom_site_fract_x
_atom_site_fract_y
_atom_site_fract_z
Li1 0.000 0.000 0.000
Ce1 0.750 0.750 0.750
Tm1 0.250 0.250 0.250
Au1 0.500 0.500 0.500
```

Summary:
As for the total magnetic moment: 0.875 μB per formula unit. As for the formation energy: -274 meV per atom. Its density of states at the Fermi level is 2.09 states/eV per atom. As for the total energy: -16.69 eV/cell.

This record from Alexandria via LeMat-Bulk describes crystalline K2RbZn2 at its relaxed geometry. The functional is PBE.

CIF file:
```
data_K2RbZn2
_chemical_formula_sum 'K2 Rb1 Zn2'
_cell_length_a 7.895
_cell_length_b 7.895
_cell_length_c 7.895
_cell_angle_alpha 133.48
_cell_angle_beta 133.48
_cell_angle_gamma 67.90
_symmetry_space_group_name_H-M 'P 1'
_symmetry_Int_Tables_number 1
loop_
_symmetry_equiv_pos_as_xyz
'x,y,z'
loop_
_atom_site_label
_atom_site_fract_x
_atom_site_fract_y
_atom_site_fract_z
K1 0.150 0.150 0.000
K2 0.850 0.850 0.000
Rb1 0.500 0.500 0.000
Zn1 0.250 0.750 0.500
Zn2 0.750 0.250 0.500
```

Summary:
As for the total magnetic moment: 0.000 μB per formula unit. As for the formation energy: 251 meV per atom. Its density of states at the Fermi level is 0.58 states/eV per atom. As for the total energy: -4.46 eV/cell.

This record from Alexandria via LeMat-Bulk describes crystalline La2Y9Tm at its relaxed geometry. The functional is PBE.

CIF file:
```
data_La2Y9Tm
_chemical_formula_sum 'La2 Y9 Tm1'
_cell_length_a 5.086
_cell_length_b 5.086
_cell_length_c 15.287
_cell_angle_alpha 90.00
_cell_angle_beta 90.00
_cell_angle_gamma 90.00
_symmetry_space_group_name_H-M 'P 1'
_symmetry_Int_Tables_number 1
loop_
_symmetry_equiv_pos_as_xyz
'x,y,z'
loop_
_atom_site_label
_atom_site_fract_x
_atom_site_fract_y
_atom_site_fract_z
La1 0.000 0.000 0.167
La2 0.000 0.000 0.833
Y1 0.000 0.500 0.000
Y2 0.000 0.500 0.338
Y3 0.000 0.500 0.662
Y4 0.500 0.000 0.000
Y5 0.500 0.000 0.338
Y6 0.500 0.000 0.662
Y7 0.500 0.500 0.169
Y8 0.500 0.500 0.500
Y9 0.500 0.500 0.831
Tm1 0.000 0.000 0.500
```

Summary:
As for the total magnetic moment: 0.000 μB per formula unit. As for the formation energy: 33 meV per atom. Its density of states at the Fermi level is 1.64 states/eV per atom. As for the total energy: -72.11 eV/cell.

This record from Alexandria via LeMat-Bulk describes crystalline PrTm4Th at its relaxed geometry. The functional is PBE.

CIF file:
```
data_PrTm4Th
_chemical_formula_sum 'Pr1 Tm4 Th1'
_cell_length_a 6.564
_cell_length_b 6.564
_cell_length_c 6.564
_cell_angle_alpha 60.00
_cell_angle_beta 60.00
_cell_angle_gamma 60.00
_symmetry_space_group_name_H-M 'P 1'
_symmetry_Int_Tables_number 1
loop_
_symmetry_equiv_pos_as_xyz
'x,y,z'
loop_
_atom_site_label
_atom_site_fract_x
_atom_site_fract_y
_atom_site_fract_z
Pr1 0.000 0.000 0.000
Tm1 0.126 0.625 0.625
Tm2 0.625 0.126 0.625
Tm3 0.625 0.625 0.126
Tm4 0.625 0.625 0.625
Th1 0.250 0.250 0.250
```

Summary:
As for the total magnetic moment: 4.633 μB per formula unit. As for the formation energy: 325 meV per atom. Its density of states at the Fermi level is 1.97 states/eV per atom. As for the total energy: -28.13 eV/cell.

This record from Alexandria via LeMat-Bulk describes crystalline TaNb3W3 at its relaxed geometry. The functional is PBE.

CIF file:
```
data_TaNb3W3
_chemical_formula_sum 'Ta2 Nb6 W6'
_cell_length_a 6.381
_cell_length_b 6.381
_cell_length_c 6.350
_cell_angle_alpha 90.00
_cell_angle_beta 90.00
_cell_angle_gamma 91.76
_symmetry_space_group_name_H-M 'P 1'
_symmetry_Int_Tables_number 1
loop_
_symmetry_equiv_pos_as_xyz
'x,y,z'
loop_
_atom_site_label
_atom_site_fract_x
_atom_site_fract_y
_atom_site_fract_z
Ta1 0.199 0.199 0.000
Ta2 0.801 0.801 0.000
Nb1 0.000 0.500 0.253
Nb2 0.000 0.500 0.747
Nb3 0.500 0.000 0.253
Nb4 0.500 0.000 0.747
Nb5 0.500 0.500 0.252
Nb6 0.500 0.500 0.748
W1 0.210 0.790 0.500
W2 0.255 0.255 0.500
W3 0.257 0.743 0.000
W4 0.743 0.257 0.000
W5 0.745 0.745 0.500
W6 0.790 0.210 0.500
```

Summary:
As for the total magnetic moment: 0.000 μB per formula unit. As for the formation energy: 482 meV per atom. Its density of states at the Fermi level is 1.04 states/eV per atom. As for the total energy: -155.10 eV/cell.

This record from Alexandria via LeMat-Bulk describes crystalline La2Sm4Er at its relaxed geometry. The functional is PBE.

CIF file:
```
data_La2Sm4Er
_chemical_formula_sum 'La4 Sm8 Er2'
_cell_length_a 6.294
_cell_length_b 6.681
_cell_length_c 11.769
_cell_angle_alpha 90.00
_cell_angle_beta 104.04
_cell_angle_gamma 90.00
_symmetry_space_group_name_H-M 'P 1'
_symmetry_Int_Tables_number 1
loop_
_symmetry_equiv_pos_as_xyz
'x,y,z'
loop_
_atom_site_label
_atom_site_fract_x
_atom_site_fract_y
_atom_site_fract_z
La1 0.108 0.250 0.493
La2 0.207 0.250 0.073
La3 0.793 0.750 0.927
La4 0.892 0.750 0.507
Sm1 0.150 0.009 0.785
Sm2 0.150 0.491 0.785
Sm3 0.357 0.750 0.052
Sm4 0.473 0.750 0.642
Sm5 0.527 0.250 0.358
Sm6 0.643 0.250 0.948
Sm7 0.850 0.509 0.215
Sm8 0.850 0.991 0.215
Er1 0.354 0.750 0.338
Er2 0.646 0.250 0.662
```

Summary:
As for the total magnetic moment: 0.000 μB per formula unit. As for the formation energy: 121 meV per atom. Its density of states at the Fermi level is 1.64 states/eV per atom. As for the total energy: -64.89 eV/cell.

This record from Alexandria via LeMat-Bulk describes crystalline USnBr6 at its relaxed geometry. The functional is PBE.

CIF file:
```
data_USnBr6
_chemical_formula_sum 'U1 Sn1 Br6'
_cell_length_a 7.197
_cell_length_b 7.205
_cell_length_c 7.798
_cell_angle_alpha 90.12
_cell_angle_beta 117.43
_cell_angle_gamma 119.92
_symmetry_space_group_name_H-M 'P 1'
_symmetry_Int_Tables_number 1
loop_
_symmetry_equiv_pos_as_xyz
'x,y,z'
loop_
_atom_site_label
_atom_site_fract_x
_atom_site_fract_y
_atom_site_fract_z
U1 0.000 0.000 0.000
Sn1 0.000 0.500 0.500
Br1 0.157 0.235 0.757
Br2 0.167 0.401 0.243
Br3 0.477 0.077 0.244
Br4 0.523 0.923 0.756
Br5 0.833 0.599 0.757
Br6 0.843 0.765 0.243
```

Summary:
As for the total magnetic moment: 2.000 μB per formula unit. Its density of states at the Fermi level is 0.65 states/eV per atom. As for the total energy: -33.98 eV/cell.